# Ca2BiAu9 PBE-GGA optimized geometry
data_Ca2BiAu9
_chemical_formula_sum 'Ca6 Bi3 Au27'
_space_group_name_H-M_alt 'R -3 m'
_space_group_IT_number 166
_space_group_name_Hall '-R 3 2"'
_cell_length_a 5.6687
_cell_length_b 5.6687
_cell_length_c 27.7693
_cell_angle_alpha 90.00
_cell_angle_beta 90.00
_cell_angle_gamma 120.00
loop_
_atom_site_label
_atom_site_fract_x
_atom_site_fract_y
_atom_site_fract_z
Ca1 0.0000 0.0000 0.1358
Bi1 0.0000 0.0000 0.0000
Au1 0.0000 0.0000 0.3330
Au2 0.0000 0.0000 0.5000
Au3 0.0052 0.5026 0.9143
# Spin magnetization = 0.000 μB/f.u.
# Electronic total energy = -3.482 eV per atom
# Density of states at the Fermi level = 12.52 states/eV/cell